First-principles (PBE) data for KNdSnHg after structural relaxation, as listed in Alexandria via LeMat-Bulk.

Lattice parameters (Å, degrees): 7.9047 7.9047 7.9047 90.00 90.00 90.00
Last column: nearest neighbours and their distance in Å.
Space group F-43m (No. 216)
Symmetry-distinct sites (fractional):
1 K 0.0000 0.0000 0.0000 x4  4 Hg 3.42, 4 Sn 3.42
2 Nd 0.0000 0.0000 0.5000 x4  4 Sn 3.42, 4 Hg 3.42
3 Sn 0.2500 0.2500 0.7500 x4  4 K 3.42, 4 Nd 3.42
4 Hg 0.2500 0.2500 0.2500 x4  4 Nd 3.42, 4 K 3.42

D(E_F)	5.7	states/eV/cell
V	30.9	Å³ per atom
total magnetic moment	0.00	Bohr magnetons per cell
E	-2.865	eV per atom



First-principles (PBE) data for In4Cu5 after structural relaxation, as listed in Alexandria via LeMat-Bulk.

Lattice parameters (Å, degrees): 7.9571 7.9571 5.7165 90.00 90.00 120.00
Last column: nearest neighbours and their distance in Å.
Space group P6_3/mcm (No. 193)
Symmetry-distinct sites (fractional):
1 In 0.0000 0.0000 0.0000 x2  6 Cu 2.84, 2 In 2.86
2 In 0.0000 0.3661 0.2500 x6  5 Cu 2.58-2.89
3 Cu 0.0000 0.3090 0.7500 x6  7 In 2.58-2.89
4 Cu 0.3333 0.6667 0.0000 x4  8 Cu 2.86-3.10, 6 In 2.91

energy relative to the lowest polymorph listed for this composition	68.0	meV/atom
D(E_F)	7.0	states/eV/cell
V	17.4	Å³ per atom
total magnetic moment	0.00	Bohr magnetons per cell
E	-3.309	eV per atom



First-principles (PBE) data for HfVGeBr2 after structural relaxation, as listed in Alexandria via LeMat-Bulk.

Lattice parameters (Å, degrees): 5.0719 5.0719 5.6779 90.00 90.00 90.00
Last column: nearest neighbours and their distance in Å.
Space group P4/mmm (No. 123)
Symmetry-distinct sites (fractional):
1 Hf 0.0000 0.0000 0.0000 x1  4 Br 2.54, 2 V 2.84
2 V 0.0000 0.0000 0.5000 x1  2 Hf 2.84
3 Ge 0.5000 0.5000 0.5000 x1  4 V 3.59, 8 Br 3.81
4 Br 0.0000 0.5000 0.0000 x2  2 Hf 2.54

E_form (uncorrected)	0.67	eV per atom
D(E_F)	4.9	states/eV/cell
V	29.2	Å³ per atom
total magnetic moment	2.92	Bohr magnetons per cell
E	-4.735	eV per atom